1.
Compound: Sr3Dy2YSe6
Source: the Alexandria database
Functional: PBE-GGA
Structure: optimized geometry

Computed properties:
Uncorrected energy: -5.354 eV per atom
E_form (uncorrected): -1.89 eV per atom
Volume: 323.90 Å³ per cell
Symmetry: C2/m, No. 12

abc: 7.2813 7.2813 7.4578
angles: 99.39 99.39 119.94
Sites, in units of the cell vectors:
Sr: 0.1665 0.8335 0.5000
Sr: 0.8335 0.1665 0.5000
Sr: 0.5000 0.5000 0.5000
Dy: 0.3333 0.6667 0.0000
Dy: 0.6667 0.3333 0.0000
Y: 0.0000 0.0000 0.0000
Se: 0.9232 0.5891 0.7695
Se: 0.7427 0.7427 0.2304
Se: 0.0768 0.4109 0.2305
Se: 0.5891 0.9232 0.7695
Se: 0.2573 0.2573 0.7696
Se: 0.4109 0.0768 0.2305


2.
Compound: Ca4Hg2Bi3
Source: the Alexandria database
Functional: PBE-GGA
Structure: optimized geometry

Computed properties:
Uncorrected energy: -2.836 eV per atom
Formation energy from the elements: -5.3 eV per formula unit
Volume: 276.57 Å³ per cell
Symmetry: C2/m, No. 12

abc: 5.4765 5.4815 10.6364
angles: 89.91 90.02 60.02
Sites, in units of the cell vectors:
Ca: 0.6665 0.6670 0.8962
Ca: 0.0007 0.9988 0.3216
Ca: 0.9993 0.0012 0.6784
Ca: 0.3335 0.3330 0.1038
Hg: 0.3327 0.3343 0.7574
Hg: 0.6673 0.6657 0.2426
Bi: 0.3342 0.3319 0.4125
Bi: 0.0000 0.0000 0.0000
Bi: 0.6658 0.6681 0.5875


3.
Compound: LaSb2IrAu
Source: the Alexandria database
Functional: PBE-GGA
Structure: optimized geometry

Computed properties:
Uncorrected energy: -5.197 eV per atom
E_form (uncorrected): -0.13 eV per atom
Volume: 136.99 Å³ per cell
Symmetry: P4/mmm, No. 123

abc: 5.1470 5.1710 5.1470
angles: 90.00 90.00 90.00
Sites, in units of the cell vectors:
Sb: 0.0000 0.0000 0.5000
Sb: 0.5000 0.0000 0.0000
Ir: 0.0000 0.0000 0.0000
Au: 0.0000 0.5000 0.0000
La: 0.5000 0.5000 0.5000


4.
Compound: Ce2ThAs2N2
Source: the Alexandria database
Functional: PBE-GGA
Structure: optimized geometry

Computed properties:
Uncorrected energy: -7.869 eV per atom
E_form (uncorrected): -1.41 eV per atom
Volume: 152.20 Å³ per cell
Symmetry: C2/m, No. 12

abc: 3.9780 6.6518 6.8086
angles: 64.37 73.01 72.60
Last column: magnetic moment on the atom in μB.
Sites, in units of the cell vectors:
Ce: 0.1899 0.3701 0.2502  0.17
Ce: 0.8101 0.6299 0.7498  0.17
Th: 0.0000 0.0000 0.0000  -0.01
As: 0.5623 0.2294 0.6459  -0.01
As: 0.4377 0.7706 0.3541  -0.01
N: 0.2057 0.6753 0.9134  -0.01
N: 0.7943 0.3247 0.0866  -0.01


5.
Compound: LaGdThZr
Source: the Alexandria database
Functional: PBE-GGA
Structure: optimized geometry

Computed properties:
Uncorrected energy: -8.586 eV per atom
Formation energy from the elements: 0.6 eV per formula unit
Volume: 120.74 Å³ per cell
Symmetry: F-43m, No. 216

abc: 5.5479 5.5479 5.5479
angles: 60.00 60.00 60.00
Last column: magnetic moment on the atom in μB.
Sites, in units of the cell vectors:
Gd: 0.7500 0.7500 0.7500  7.17
Zr: 0.2500 0.2500 0.2500  -0.40
Th: 0.5000 0.5000 0.5000  -0.06
La: 0.0000 0.0000 0.0000  -0.04


6.
Compound: Cu6Pd4Pt
Source: the Alexandria database
Functional: PBE-GGA
Structure: optimized geometry

Computed properties:
Uncorrected energy: -4.605 eV per atom
Formation energy from the elements: 0.7 eV per formula unit
Volume: 160.32 Å³ per cell
Symmetry: I-42m, No. 121

abc: 7.3946 7.3946 7.3946
angles: 56.66 140.78 140.78
Sites, in units of the cell vectors:
Cu: 0.0000 0.8184 0.4314
Cu: 0.0000 0.4314 0.8184
Cu: 0.6130 0.1816 0.1816
Cu: 0.5000 0.0000 0.5000
Cu: 0.3870 0.5686 0.5686
Cu: 0.5000 0.5000 0.0000
Pd: 0.0000 0.0248 0.6143
Pd: 0.4106 0.3857 0.3857
Pd: 0.0000 0.6143 0.0248
Pd: 0.5894 0.9752 0.9752
Pt: 0.0000 0.0000 0.0000


7.
Compound: CaLaTbY
Source: the Alexandria database
Functional: PBE-GGA
Structure: optimized geometry

Computed properties:
Uncorrected energy: -4.378 eV per atom
Formation energy from the elements: 0.5 eV per formula unit
Distance to the lowest polymorph of the same formula: 0 meV/atom
Volume: 142.09 Å³ per cell
Symmetry: F-43m, No. 216

abc: 5.8572 5.8572 5.8572
angles: 60.00 60.00 60.00
Sites, in units of the cell vectors:
Y: 0.2500 0.2500 0.2500
Ca: 0.7500 0.7500 0.7500
Tb: 0.5000 0.5000 0.5000
La: 0.0000 0.0000 0.0000


8.
Compound: Ba2Rh2F
Source: the Alexandria database
Functional: PBE-GGA
Structure: optimized geometry

Computed properties:
Uncorrected energy: -4.605 eV per atom
E_form (uncorrected): -0.52 eV per atom
Distance to the lowest polymorph of the same formula: 0 meV/atom
Volume: 134.67 Å³ per cell
Symmetry: I4/mmm, No. 139

abc: 5.9116 5.9116 5.6854
angles: 58.67 58.67 90.00
Last column: magnetic moment on the atom in μB.
Sites, in units of the cell vectors:
Rh: 0.3396 0.3396 0.3209  0.52
Rh: 0.6604 0.6604 0.6791  0.52
Ba: 0.7500 0.2500 0.5000  -0.02
Ba: 0.2500 0.7500 0.5000  -0.02
F: 0.0000 0.0000 0.0000  0.01


9.
Compound: NdPa4
Source: the Alexandria database
Functional: PBE-GGA
Structure: optimized geometry

Computed properties:
Uncorrected energy: -7.049 eV per atom
Formation energy from the elements: 7.5 eV per formula unit
Volume: 158.36 Å³ per cell
Symmetry: Pm-3m, No. 221

abc: 5.4102 5.4102 5.4102
angles: 90.00 90.00 90.00
Last column: magnetic moment on the atom in μB.
Sites, in units of the cell vectors:
Pa: 0.0000 0.0000 0.0000  0.62
Pa: 0.5000 0.0000 0.5000  0.14
Pa: 0.0000 0.5000 0.5000  0.14
Pa: 0.5000 0.5000 0.0000  0.14
Nd: 0.5000 0.5000 0.5000  0.05


10.
Compound: Mg2AlPt
Source: the Alexandria database
Functional: PBE-GGA
Structure: optimized geometry

Computed properties:
Uncorrected energy: -3.760 eV per atom
Formation energy from the elements: -2.1 eV per formula unit
Volume: 71.14 Å³ per cell
Symmetry: Pm, No. 6

abc: 4.3109 3.1024 5.5503
angles: 73.41 90.00 90.00
Sites, in units of the cell vectors:
Al: 0.5000 0.5636 0.7460
Mg: 0.0000 0.9528 0.9639
Mg: 0.5000 0.2945 0.2916
Pt: 0.0000 0.6891 0.4985


11.
Compound: Zr4TlAs
Source: the Alexandria database
Functional: PBE-GGA
Structure: optimized geometry

Computed properties:
Uncorrected energy: -6.627 eV per atom
Formation energy from the elements: 1.4 eV per formula unit
Volume: 137.39 Å³ per cell
Symmetry: F-43m, No. 216

abc: 5.7919 5.7919 5.7919
angles: 60.00 60.00 60.00
Sites, in units of the cell vectors:
Zr: 0.8770 0.3743 0.3743
Zr: 0.3743 0.3743 0.8770
Zr: 0.3743 0.8770 0.3743
Zr: 0.3743 0.3743 0.3743
Tl: 0.0000 0.0000 0.0000
As: 0.7500 0.7500 0.7500


12.
Compound: Cu5Pd2Au4
Source: the Alexandria database
Functional: PBE-GGA
Structure: optimized geometry

Computed properties:
Uncorrected energy: -4.034 eV per atom
Formation energy from the elements: -0.4 eV per formula unit
Volume: 332.06 Å³ per cell
Symmetry: Pbam, No. 55

abc: 2.8402 6.9510 16.8201
angles: 90.00 90.00 90.00
Sites, in units of the cell vectors:
Cu: 0.0000 0.5000 0.0000
Cu: 0.0000 0.0000 0.5000
Cu: 0.0000 0.2640 0.1967
Cu: 0.0000 0.7360 0.8033
Cu: 0.0000 0.7640 0.3033
Cu: 0.0000 0.2360 0.6967
Cu: 0.0000 0.3599 0.4290
Cu: 0.0000 0.6401 0.5710
Cu: 0.0000 0.8599 0.0710
Cu: 0.0000 0.1401 0.9290
Pd: 0.5000 0.4487 0.3016
Pd: 0.5000 0.5513 0.6984
Pd: 0.5000 0.9487 0.1984
Pd: 0.5000 0.0513 0.8016
Au: 0.5000 0.3038 0.5613
Au: 0.5000 0.6962 0.4387
Au: 0.5000 0.8038 0.9387
Au: 0.5000 0.1962 0.0613
Au: 0.5000 0.4275 0.8593
Au: 0.5000 0.5725 0.1407
Au: 0.5000 0.9275 0.6407
Au: 0.5000 0.0725 0.3593


13.
Compound: SrZrCr
Source: the Alexandria database
Functional: PBE-GGA
Structure: optimized geometry

Computed properties:
Uncorrected energy: -4.899 eV per atom
Formation energy from the elements: 5.2 eV per formula unit
Distance to the lowest polymorph of the same formula: 1146 meV/atom
Volume: 90.87 Å³ per cell
Symmetry: F-43m, No. 216

abc: 5.0464 5.0464 5.0464
angles: 60.00 60.00 60.00
Last column: magnetic moment on the atom in μB.
Sites, in units of the cell vectors:
Cr: 0.5000 0.5000 0.5000  3.75
Sr: 0.7500 0.7500 0.7500  0.02
Zr: 0.0000 0.0000 0.0000  -0.68


14.
Compound: La4TmAg5
Source: the Alexandria database
Functional: PBE-GGA
Structure: optimized geometry

Computed properties:
Uncorrected energy: -4.114 eV per atom
Formation energy from the elements: -2.7 eV per formula unit
Volume: 269.08 Å³ per cell
Symmetry: P4/mmm, No. 123

abc: 3.7260 3.7260 19.3823
angles: 90.00 90.00 90.00
Sites, in units of the cell vectors:
La: 0.0000 0.0000 0.1922
La: 0.0000 0.0000 0.3977
La: 0.0000 0.0000 0.6023
La: 0.0000 0.0000 0.8078
Tm: 0.0000 0.0000 0.0000
Ag: 0.5000 0.5000 0.0846
Ag: 0.5000 0.5000 0.2954
Ag: 0.5000 0.5000 0.5000
Ag: 0.5000 0.5000 0.7046
Ag: 0.5000 0.5000 0.9154


15.
Compound: Rb4Tl3Te5
Source: the Alexandria database
Functional: PBE-GGA
Structure: optimized geometry

Computed properties:
Uncorrected energy: -2.841 eV per atom
E_form (uncorrected): -0.62 eV per atom
Volume: 509.71 Å³ per cell
Symmetry: P-1, No. 2

abc: 5.9251 8.7511 10.7512
angles: 107.42 105.86 89.89
Sites, in units of the cell vectors:
Rb: 0.9032 0.0918 0.8117
Rb: 0.1608 0.4314 0.3181
Rb: 0.8392 0.5686 0.6819
Rb: 0.0968 0.9082 0.1883
Tl: 0.2811 0.8715 0.5637
Tl: 0.5000 0.5000 0.0000
Tl: 0.7189 0.1285 0.4363
Te: 0.3023 0.2453 0.6033
Te: 0.0000 0.5000 0.0000
Te: 0.4404 0.8609 0.8849
Te: 0.5596 0.1391 0.1151
Te: 0.6977 0.7547 0.3967


16.
Compound: Tb8PmEr6
Source: the Alexandria database
Functional: PBE-GGA
Structure: optimized geometry

Computed properties:
Uncorrected energy: -4.478 eV per atom
Formation energy from the elements: 2.0 eV per formula unit
Volume: 480.40 Å³ per cell
Symmetry: R-3, No. 148

abc: 8.9972 8.9972 8.5990
angles: 58.46 58.46 60.00
Sites, in units of the cell vectors:
Tb: 0.2545 0.2803 0.5762
Tb: 0.7197 0.1110 0.4238
Tb: 0.1110 0.7455 0.4238
Tb: 0.5767 0.5767 0.2698
Tb: 0.4233 0.4233 0.7302
Tb: 0.8890 0.2545 0.5762
Tb: 0.2803 0.8890 0.5762
Tb: 0.7455 0.7197 0.4238
Pm: 0.0000 0.0000 0.0000
Er: 0.4621 0.8955 0.8804
Er: 0.1045 0.2380 0.1196
Er: 0.2380 0.5379 0.1196
Er: 0.7620 0.4621 0.8804
Er: 0.8955 0.7620 0.8804
Er: 0.5379 0.1045 0.1196


17.
Compound: Ho5Bi2Pd
Source: the Alexandria database
Functional: PBE-GGA
Structure: optimized geometry

Computed properties:
Uncorrected energy: -4.710 eV per atom
Formation energy from the elements: -1.8 eV per formula unit
Distance to the lowest polymorph of the same formula: 454 meV/atom
Volume: 576.76 Å³ per cell
Symmetry: Cmcm, No. 63

abc: 5.5457 8.1822 13.5101
angles: 90.00 90.00 109.81
Sites, in units of the cell vectors:
Ho: 0.9143 0.8285 0.8847
Ho: 0.9143 0.8285 0.6153
Ho: 0.3037 0.6073 0.4549
Ho: 0.3037 0.6073 0.0451
Ho: 0.7169 0.4337 0.2500
Ho: 0.2831 0.5663 0.7500
Ho: 0.6963 0.3927 0.5451
Ho: 0.6963 0.3927 0.9549
Ho: 0.0857 0.1715 0.1153
Ho: 0.0857 0.1715 0.3847
Bi: 0.8816 0.7633 0.3922
Bi: 0.8816 0.7633 0.1078
Bi: 0.1184 0.2367 0.6078
Bi: 0.1184 0.2367 0.8922
Pd: 0.7791 0.5582 0.7500
Pd: 0.2209 0.4418 0.2500


18.
Compound: Y5URu4
Source: the Alexandria database
Functional: PBE-GGA
Structure: optimized geometry

Computed properties:
Uncorrected energy: -8.409 eV per atom
Formation energy from the elements: -3.4 eV per formula unit
Volume: 237.95 Å³ per cell
Symmetry: C2/m, No. 12

abc: 4.5935 6.8901 8.0918
angles: 103.71 106.49 90.00
Sites, in units of the cell vectors:
Y: 0.1722 0.0443 0.3445
Y: 0.1680 0.5435 0.3359
Y: 0.8320 0.4565 0.6641
Y: 0.5000 0.5000 0.0000
Y: 0.8278 0.9557 0.6555
U: 0.5000 0.0000 0.0000
Ru: 0.6412 0.2632 0.2823
Ru: 0.9977 0.7810 0.9954
Ru: 0.3588 0.7368 0.7177
Ru: 0.0023 0.2190 0.0046


19.
Compound: TcCl3F
Source: the Alexandria database
Functional: PBE-GGA
Structure: optimized geometry

Computed properties:
Uncorrected energy: -3.808 eV per atom
E_form (uncorrected): -0.25 eV per atom
Distance to the lowest polymorph of the same formula: 524 meV/atom
Volume: 106.44 Å³ per cell
Symmetry: Pm-3m, No. 221

abc: 4.7392 4.7392 4.7392
angles: 90.00 90.00 90.00
Last column: magnetic moment on the atom in μB.
Sites, in units of the cell vectors:
F: 0.5000 0.5000 0.5000  -0.36
Tc: 0.0000 0.0000 0.0000  2.01
Cl: 0.0000 0.5000 0.0000  0.10
Cl: 0.0000 0.0000 0.5000  0.01
Cl: 0.5000 0.0000 0.0000  0.19


20.
Compound: Pu2Bi2HRh4
Source: the Alexandria database
Functional: PBE-GGA
Structure: optimized geometry

Computed properties:
Uncorrected energy: -7.895 eV per atom
Volume: 162.13 Å³ per cell
Symmetry: I4/mmm, No. 139

abc: 5.9689 5.9689 5.9689
angles: 102.94 112.83 112.83
Last column: magnetic moment on the atom in μB.
Sites, in units of the cell vectors:
Pu: 0.0000 0.6889 0.6889  5.05
Pu: 0.0000 0.3111 0.3111  5.05
Bi: 0.5000 0.7500 0.2500  -0.04
Bi: 0.5000 0.2500 0.7500  -0.04
H: 0.0000 0.0000 0.0000  0.00
Rh: 0.0000 0.7858 0.2142  -0.20
Rh: 0.5716 0.7858 0.7858  -0.20
Rh: 0.0000 0.2142 0.7858  -0.20
Rh: 0.4284 0.2142 0.2142  -0.20


no.,mass density (g/cm3)
1,5.90
2,7.14
3,9.35
4,7.53
5,8.52
6,10.38
7,4.99
8,6.16
9,11.20
10,6.32
11,7.79
12,13.19
13,4.22
14,7.80
15,5.19
16,8.36
17,7.77
18,7.58
19,3.48
20,13.50